{
  "formula": "Y2ScRh2",
  "functional": "PBE-GGA",
  "state": "relaxed",
  "lattice": [[3.8091, -0.0010, 1.6136], [1.2778, 5.1051, 2.2454], [-0.1887, 0.4021, 5.7043]],
  "species": ["Y", "Y", "Sc", "Rh", "Rh"],
  "frac_coords": [[0.3002, 0.1992, 0.6992], [0.6998, 0.8008, 0.3008], [0.5000, 0.5000, 0.0000], [0.0000, 0.2313, 0.2686], [0.0000, 0.7687, 0.7314]],
  "formation_energy_kcal_per_mol_atoms": -17.83,
  "space_group": "No. 12"
}

{
  "formula": "YScRh",
  "functional": "PBE-GGA",
  "state": "relaxed",
  "lattice": [[4.0915, -0.1939, -0.0565], [0.2184, 4.6153, -0.0358], [0.1076, 0.1650, 7.1802]],
  "species": ["Y", "Y", "Sc", "Sc", "Rh", "Rh"],
  "frac_coords": [[0.8136, 0.8560, 0.5540], [0.3136, 0.3769, 0.2852], [0.8136, 0.3666, 0.9139], [0.3136, 0.8663, 0.9253], [0.8135, 0.8322, 0.1557], [0.3137, 0.4008, 0.6836]],
  "formation_energy_kcal_per_mol_atoms": -14.80,
  "space_group": "No. 11"
}

{
  "formula": "YScRh",
  "functional": "PBE-GGA",
  "state": "relaxed",
  "lattice": [[-2.1606, -0.1615, -6.2117], [-3.8007, -2.6018, -4.6973], [-2.7380, 1.8549, 0.0237]],
  "species": ["Rh", "Sc", "Y"],
  "frac_coords": [[0.9893, 0.9892, 0.0107], [0.3697, 0.3697, 0.6303], [0.6410, 0.6411, 0.3590]],
  "formation_energy_kcal_per_mol_atoms": -13.14,
  "space_group": "No. 107"
}

{
  "formula": "YScRh2",
  "functional": "PBE-GGA",
  "state": "relaxed",
  "lattice": [[5.6882, -0.0017, 0.0000], [3.0200, 4.8203, 0.0000], [-4.3541, -2.4093, 2.7555]],
  "species": ["Rh", "Rh", "Sc", "Y"],
  "frac_coords": [[0.0000, 0.0000, 0.0000], [0.2500, 0.7500, 0.5000], [0.5000, 0.5000, 0.0000], [0.7500, 0.2500, 0.5000]],
  "formation_energy_kcal_per_mol_atoms": -15.74,
  "space_group": "No. 119"
}

{
  "formula": "Y2Sc3Rh2",
  "functional": "PBE-GGA",
  "state": "relaxed",
  "lattice": [[3.7172, 0.0000, 0.0000], [-1.8586, 5.7000, -0.4549], [0.0000, -3.1995, 7.8311]],
  "species": ["Y", "Y", "Sc", "Sc", "Sc", "Rh", "Rh"],
  "frac_coords": [[0.8449, 0.6899, 0.2000], [0.1551, 0.3101, 0.8000], [0.5000, 0.0000, 0.0000], [0.6212, 0.2425, 0.4345], [0.3787, 0.7575, 0.5655], [0.8356, 0.6713, 0.7642], [0.1644, 0.3287, 0.2358]],
  "formation_energy_kcal_per_mol_atoms": -13.68,
  "space_group": "No. 12"
}

{
  "formula": "YScRh2",
  "functional": "PBE-GGA",
  "state": "relaxed",
  "lattice": [[-4.5383, 2.9070, -0.4281], [-4.2263, 1.8329, 2.8299], [2.2532, 3.6643, 0.9924]],
  "species": ["Rh", "Rh", "Sc", "Y"],
  "frac_coords": [[0.9667, 0.9667, 0.1250], [0.7887, 0.7887, 0.6251], [0.5120, 0.5120, 0.6249], [0.2326, 0.2326, 0.1251]],
  "formation_energy_kcal_per_mol_atoms": -17.89,
  "space_group": "No. 38"
}

{
  "formula": "Y3ScRh",
  "functional": "PBE-GGA",
  "state": "relaxed",
  "lattice": [[-2.2451, 6.8137, 0.0343], [-2.0065, -2.7774, 6.3031], [7.1046, -0.6042, -0.7291]],
  "species": ["Y", "Y", "Y", "Y", "Y", "Y", "Sc", "Sc", "Rh", "Rh"],
  "frac_coords": [[0.8393, 0.0426, 0.2755], [0.2329, 0.4362, 0.2755], [0.7671, 0.5638, 0.7245], [0.7148, 0.4477, 0.1625], [0.1607, 0.9574, 0.7245], [0.2852, 0.5523, 0.8375], [0.6986, 0.0517, 0.7504], [0.3014, 0.9483, 0.2496], [0.6183, 0.7582, 0.3765], [0.3817, 0.2418, 0.6235]],
  "formation_energy_kcal_per_mol_atoms": -7.77,
  "space_group": "No. 12"
}

{
  "formula": "Y2Sc3Rh2",
  "functional": "PBE-GGA",
  "state": "relaxed",
  "lattice": [[3.4146, -0.0006, 0.8846], [-0.7414, 8.8237, 2.8861], [0.2492, 1.2377, 6.0766]],
  "species": ["Y", "Y", "Sc", "Sc", "Sc", "Rh", "Rh"],
  "frac_coords": [[0.4017, 0.6013, 0.1957], [0.5983, 0.3987, 0.8043], [0.0000, 0.0000, 0.0000], [0.7949, 0.2303, 0.4086], [0.2051, 0.7697, 0.5914], [0.6261, 0.9107, 0.7483], [0.3739, 0.0893, 0.2517]],
  "formation_energy_kcal_per_mol_atoms": -9.39,
  "space_group": "No. 2"
}